Computed, not measured: an optimized crystal structure of CoOsNO at the PBE+U level of DFT.

Computed properties:
DFT total energy	-59.2	eV/cell
crystal system	orthorhombic
energy above the lowest structure with this stoichiometry	0	meV/atom
magnetization	4.1	μB/cell
theoretical density	10.523	g/cm3

a b c (Å): 2.8703 5.2048 5.8978
angles (deg): 90.00 90.00 90.00
Closest atoms and distances in Å follow each position.
Sites, in units of the cell vectors:
1 Co 0.5000 0.0232 0.1543  2 N 1.90, 2 O 1.97-1.98
2 Co 0.5000 0.5232 0.8457  2 N 1.90, 2 O 1.97-1.98
3 N 0.0000 0.8403 0.2892  2 Co 1.90, 2 Os 1.93-1.97
4 N 0.0000 0.3403 0.7108  2 Co 1.90, 2 Os 1.93-1.97
5 O 0.5000 0.4034 0.1623  2 Co 1.97-1.98, 2 Os 2.09
6 O 0.5000 0.9034 0.8377  2 Co 1.97-1.98, 2 Os 2.09
7 Os 0.0000 0.4871 0.4100  2 N 1.93-1.97, 2 O 2.09
8 Os 0.0000 0.9871 0.5900  2 N 1.93-1.97, 2 O 2.09